1.
{"formula": "AcTbPmEu", "functional": "GGA-PBE", "state": "relaxed", "lattice_angstrom": [[8.4579, 0.0000, 0.0000], [0.0000, 8.4579, 0.0000], [0.0000, 0.0000, 8.4579]], "species": ["Ac", "Ac", "Ac", "Ac", "Tb", "Tb", "Tb", "Tb", "Pm", "Pm", "Pm", "Pm", "Eu", "Eu", "Eu", "Eu"], "frac_coords": [[0.0000, 0.0000, 0.0000], [0.0000, 0.5000, 0.5000], [0.5000, 0.0000, 0.5000], [0.5000, 0.5000, 0.0000], [0.2500, 0.2500, 0.7500], [0.2500, 0.7500, 0.2500], [0.7500, 0.2500, 0.2500], [0.7500, 0.7500, 0.7500], [0.0000, 0.0000, 0.5000], [0.0000, 0.5000, 0.0000], [0.5000, 0.0000, 0.0000], [0.5000, 0.5000, 0.5000], [0.2500, 0.2500, 0.2500], [0.2500, 0.7500, 0.7500], [0.7500, 0.2500, 0.7500], [0.7500, 0.7500, 0.2500]], "space_group": "F-43m, No. 216", "formation_enthalpy_0k_mev_per_atom": 131, "magmom_total_mub_per_cell": 31.650}



2.
{"formula": "AcPmEuTl", "functional": "GGA-PBE", "state": "relaxed", "lattice_angstrom": [[8.1851, 0.0000, 0.0000], [0.0000, 8.1851, 0.0000], [0.0000, 0.0000, 8.1851]], "species": ["Ac", "Ac", "Ac", "Ac", "Pm", "Pm", "Pm", "Pm", "Eu", "Eu", "Eu", "Eu", "Tl", "Tl", "Tl", "Tl"], "frac_coords": [[0.0000, 0.0000, 0.0000], [0.0000, 0.5000, 0.5000], [0.5000, 0.0000, 0.5000], [0.5000, 0.5000, 0.0000], [0.2500, 0.2500, 0.7500], [0.2500, 0.7500, 0.2500], [0.7500, 0.2500, 0.2500], [0.7500, 0.7500, 0.7500], [0.2500, 0.2500, 0.2500], [0.2500, 0.7500, 0.7500], [0.7500, 0.2500, 0.7500], [0.7500, 0.7500, 0.2500], [0.0000, 0.0000, 0.5000], [0.0000, 0.5000, 0.0000], [0.5000, 0.0000, 0.0000], [0.5000, 0.5000, 0.5000]], "space_group": "F-43m, No. 216", "formation_enthalpy_0k_mev_per_atom": 3, "magmom_total_mub_per_cell": 32.749}



3.
{"formula": "AcPmEuTm", "functional": "GGA-PBE", "state": "relaxed", "lattice_angstrom": [[8.4186, 0.0000, 0.0000], [0.0000, 8.4186, 0.0000], [0.0000, 0.0000, 8.4186]], "species": ["Ac", "Ac", "Ac", "Ac", "Pm", "Pm", "Pm", "Pm", "Eu", "Eu", "Eu", "Eu", "Tm", "Tm", "Tm", "Tm"], "frac_coords": [[0.0000, 0.0000, 0.0000], [0.0000, 0.5000, 0.5000], [0.5000, 0.0000, 0.5000], [0.5000, 0.5000, 0.0000], [0.0000, 0.0000, 0.5000], [0.0000, 0.5000, 0.0000], [0.5000, 0.0000, 0.0000], [0.5000, 0.5000, 0.5000], [0.2500, 0.2500, 0.7500], [0.2500, 0.7500, 0.2500], [0.7500, 0.2500, 0.2500], [0.7500, 0.7500, 0.7500], [0.2500, 0.2500, 0.2500], [0.2500, 0.7500, 0.7500], [0.7500, 0.2500, 0.7500], [0.7500, 0.7500, 0.2500]], "space_group": "F-43m, No. 216", "formation_enthalpy_0k_mev_per_atom": 126, "magmom_total_mub_per_cell": 30.405}



4.
{"formula": "AcPmEuY", "functional": "GGA-PBE", "state": "relaxed", "lattice_angstrom": [[8.4685, 0.0000, 0.0000], [0.0000, 8.4685, 0.0000], [0.0000, 0.0000, 8.4685]], "species": ["Ac", "Ac", "Ac", "Ac", "Pm", "Pm", "Pm", "Pm", "Eu", "Eu", "Eu", "Eu", "Y", "Y", "Y", "Y"], "frac_coords": [[0.0000, 0.0000, 0.0000], [0.0000, 0.5000, 0.5000], [0.5000, 0.0000, 0.5000], [0.5000, 0.5000, 0.0000], [0.2500, 0.2500, 0.2500], [0.2500, 0.7500, 0.7500], [0.7500, 0.2500, 0.7500], [0.7500, 0.7500, 0.2500], [0.0000, 0.0000, 0.5000], [0.0000, 0.5000, 0.0000], [0.5000, 0.0000, 0.0000], [0.5000, 0.5000, 0.5000], [0.2500, 0.2500, 0.7500], [0.2500, 0.7500, 0.2500], [0.7500, 0.2500, 0.2500], [0.7500, 0.7500, 0.7500]], "space_group": "F-43m, No. 216", "formation_enthalpy_0k_mev_per_atom": 144, "magmom_total_mub_per_cell": 29.962}



5.
{"formula": "AcPrEu2", "functional": "GGA-PBE", "state": "relaxed", "lattice_angstrom": [[8.6787, 0.0000, 0.0000], [0.0000, 8.6787, 0.0000], [0.0000, 0.0000, 8.6787]], "species": ["Ac", "Ac", "Ac", "Ac", "Pr", "Pr", "Pr", "Pr", "Eu", "Eu", "Eu", "Eu", "Eu", "Eu", "Eu", "Eu"], "frac_coords": [[0.0000, 0.0000, 0.0000], [0.0000, 0.5000, 0.5000], [0.5000, 0.0000, 0.5000], [0.5000, 0.5000, 0.0000], [0.0000, 0.0000, 0.5000], [0.0000, 0.5000, 0.0000], [0.5000, 0.0000, 0.0000], [0.5000, 0.5000, 0.5000], [0.2500, 0.2500, 0.2500], [0.2500, 0.2500, 0.7500], [0.2500, 0.7500, 0.2500], [0.2500, 0.7500, 0.7500], [0.7500, 0.2500, 0.2500], [0.7500, 0.2500, 0.7500], [0.7500, 0.7500, 0.2500], [0.7500, 0.7500, 0.7500]], "space_group": "Fm-3m, No. 225", "formation_enthalpy_0k_mev_per_atom": 97, "magmom_total_mub_per_cell": 60.192, "polymorph_energy_mev_per_atom": 28}



6.
{"formula": "AcPrEu2", "functional": "GGA-PBE", "state": "relaxed", "lattice_angstrom": [[6.1587, 0.0000, 0.0000], [0.0000, 6.1587, 0.0000], [0.0000, 0.0000, 4.3067]], "species": ["Ac", "Pr", "Eu", "Eu"], "frac_coords": [[0.0000, 0.0000, 0.0000], [0.5000, 0.5000, 0.0000], [0.0000, 0.5000, 0.5000], [0.5000, 0.0000, 0.5000]], "space_group": "P4/mmm, No. 123", "formation_enthalpy_0k_mev_per_atom": 97, "magmom_total_mub_per_cell": 15.125, "polymorph_energy_mev_per_atom": 28}



7.
{"formula": "AcPrEu2", "functional": "GGA-PBE", "state": "relaxed", "lattice_angstrom": [[3.8661, 0.0000, 0.0000], [0.0000, 3.8661, 0.0000], [0.0000, 0.0000, 10.8893]], "species": ["Ac", "Pr", "Eu", "Eu"], "frac_coords": [[0.0000, 0.0000, 0.0000], [0.0000, 0.0000, 0.5000], [0.5000, 0.5000, 0.2594], [0.5000, 0.5000, 0.7406]], "space_group": "P4/mmm, No. 123", "formation_enthalpy_0k_mev_per_atom": 68, "magmom_total_mub_per_cell": 14.806, "polymorph_energy_mev_per_atom": 0}



8.
{"formula": "SrAcPrEu", "functional": "GGA-PBE", "state": "relaxed", "lattice_angstrom": [[8.8629, 0.0000, 0.0000], [0.0000, 8.8629, 0.0000], [0.0000, 0.0000, 8.8629]], "species": ["Sr", "Sr", "Sr", "Sr", "Ac", "Ac", "Ac", "Ac", "Pr", "Pr", "Pr", "Pr", "Eu", "Eu", "Eu", "Eu"], "frac_coords": [[0.0000, 0.0000, 0.0000], [0.0000, 0.5000, 0.5000], [0.5000, 0.0000, 0.5000], [0.5000, 0.5000, 0.0000], [0.2500, 0.2500, 0.2500], [0.2500, 0.7500, 0.7500], [0.7500, 0.2500, 0.7500], [0.7500, 0.7500, 0.2500], [0.0000, 0.0000, 0.5000], [0.0000, 0.5000, 0.0000], [0.5000, 0.0000, 0.0000], [0.5000, 0.5000, 0.5000], [0.2500, 0.2500, 0.7500], [0.2500, 0.7500, 0.2500], [0.7500, 0.2500, 0.2500], [0.7500, 0.7500, 0.7500]], "space_group": "F-43m, No. 216", "formation_enthalpy_0k_mev_per_atom": 130, "magmom_total_mub_per_cell": 29.348}



no.,E_tot (eV per atom)
1,-5.810
2,-5.372
3,-5.776
4,-6.256
5,-7.263
6,-7.263
7,-7.291
8,-5.081